UHgW (PBE, relaxed); calculated formation energy = 1483 meV/atom; energy above the most stable polymorph in this dataset = 372 meV per atom; calculated density = 13.97 g/cm³
1.0
-4.2544 1.6571 1.1650
-1.5626 4.0207 -1.8962
-3.5049 -0.0858 -3.1482
Hg U W
1 1 1
Direct
0.2500 0.2500 0.2500
0.0000 0.0000 0.0000
0.7500 0.7500 0.7500